A relaxed Nd3Ge2Pd7 crystal, computed with PBE.

Cell and atoms, written as POSCAR:
```
Nd3Ge2Pd7
1.0
3.988 0.000 0.000
0.000 4.298 -0.638
0.000 -0.008 14.738
Nd Ge Pd
3 2 7
direct
0.500 0.500 0.000
0.500 0.701 0.402
0.500 0.299 0.598
0.000 0.918 0.835
0.000 0.082 0.165
0.000 0.375 0.749
0.000 0.789 0.578
0.000 0.000 0.000
0.000 0.625 0.251
0.500 0.132 0.265
0.500 0.868 0.735
0.000 0.211 0.422
```

Distance to the lowest polymorph of the same formula, meV/atom: 134
Calculated total energy, eV per atom: -5.6150
Calculated density, g/cm³: 8.7
Space-group type: No. 65